Computed, not measured: a relaxed structure of AgRh at the PBE-GGA level of DFT.

Its calculated formation energy is 0.415 eV per atom. For the total moment, the calculation gives 0.332 μB/atom. Its volume is 17.14 Å³/atom. As for the density of states at the Fermi level: 19.96 states/eV/cell.

The space group is I4/mmm (No. 139) and the conventional cell measures 8.091, 8.091 and 4.188 Å, with angles of 90.00, 90.00 and 90.00 degrees. The inequivalent atoms are Ag at (0.000, 0.317, 0.000) and Rh at (0.158, 0.158, 0.500).

=====

Computed, not measured: a relaxed structure of MgTlGaSb at the PBE-GGA level of DFT.

For the total moment, the calculation gives 0.000 μB/atom. The calculation puts the raw formation energy at 6 meV/atom. Its volume is 24.98 Å³/atom. As for the density of states at the Fermi level: 8.58 states/eV/cell.

The space group is F-43m (No. 216) and the conventional cell measures 7.366, 7.366 and 7.366 Å, with angles of 90.00, 90.00 and 90.00 degrees. The inequivalent atoms are Mg at (0.000, 0.000, 0.000), Tl at (0.250, 0.250, 0.750), Ga at (0.000, 0.000, 0.500) and Sb at (0.250, 0.250, 0.250).

=====

Computed, not measured: a relaxed structure of La2SmRu at the PBE-GGA level of DFT.

Its calculated formation energy is -0.050 eV per atom. For the total moment, the calculation gives 0.001 μB/atom. Its volume is 32.49 Å³/atom. As for the density of states at the Fermi level: 13.89 states/eV/cell. The energy relative to the lowest polymorph listed for this composition comes out at 179 meV per atom.

The space group is R3m (No. 160, hexagonal axes) and the conventional cell measures 4.0202, 4.0202 and 27.8553 Å, with angles of 90.00, 90.00 and 120.00 degrees. The inequivalent atoms are La at (0.0000, 0.0000, 0.0000), La at (0.0000, 0.0000, 0.2190), Sm at (0.0000, 0.0000, 0.7754) and Ru at (0.0000, 0.0000, 0.6112).

=====

Q: Which formula does entry 1 have?
A: AgRh